Entry 1:
NbInCo2Pt (PBE, optimized geometry); formation enthalpy at 0 K = 1.4666 eV/atom; VASP energy = -25.7 eV per cell; calculated volume = 20.06 Å³ per atom
1.0
-1.711 -3.238 2.710
1.150 -3.354 -3.282
4.081 -0.517 1.959
Nb Co Pt In
1 2 1 1
Direct
0.500 0.500 0.500
0.000 0.000 0.500
0.500 0.000 0.000
0.000 0.500 0.000
0.000 0.000 0.000

***

Entry 2:
NbInCoPt (PBE, optimized geometry); formation enthalpy at 0 K = -0.1948 eV/atom; VASP energy = -26.7 eV per cell; calculated volume = 16.40 Å³ per atom
1.0
-2.204 -1.986 -3.419
0.493 -4.439 -0.735
-3.427 -2.830 0.857
Nb Co Pt In
1 1 1 1
Direct
0.750 0.750 0.750
0.500 0.500 0.500
0.000 0.000 0.000
0.250 0.250 0.250

***

Calculated DOS at the Fermi energy, 6.3 3.6 states/eV per cell (same order as the records).